[1]
YSnIrRh after structural relaxation. Source: the Alexandria database, functional PBE.

Lattice parameters (Å, degrees): 6.6733 6.6733 6.6733 90.00 90.00 90.00
Last column: nearest neighbours and their distance in Å.
Space group F-43m (No. 216)
Asymmetric unit:
Y 0.0000 0.0000 0.0000  4 Rh 2.89, 4 Ir 2.89
Sn 0.0000 0.0000 0.5000  4 Rh 2.89, 4 Ir 2.89
Ir 0.2500 0.2500 0.7500  4 Sn 2.89, 4 Y 2.89
Rh 0.2500 0.2500 0.2500  4 Sn 2.89, 4 Y 2.89

## Properties
Crystal system: cubic
Density of states at the Fermi level: 0.9429 states/eV per atom
M_tot: 0.00 μB/f.u.
DFT total energy: -0.269 hartree per atom

***

[2]
ZrSnIrRh after structural relaxation. Source: the Alexandria database, functional PBE.

Lattice parameters (Å, degrees): 4.2774 4.2774 7.6128 90.00 90.00 90.00
Last column: nearest neighbours and their distance in Å.
Space group I-4m2 (No. 119)
Asymmetric unit:
Zr 0.0000 0.0000 0.0000  4 Rh 2.86, 4 Ir 2.86, 4 Sn 3.02
Sn 0.0000 0.0000 0.5000  4 Ir 2.86, 4 Rh 2.86, 4 Zr 3.02
Ir 0.0000 0.5000 0.2500  4 Zr 2.86, 4 Sn 2.86, 4 Rh 3.02
Rh 0.0000 0.5000 0.7500  4 Zr 2.86, 4 Sn 2.86, 4 Ir 3.02

## Properties
Crystal system: tetragonal
Density of states at the Fermi level: 0.2452 states/eV per atom
M_tot: 0.00 μB/f.u.
DFT total energy: -0.290 hartree per atom

***

[3]
Sr2Ir2Rh after structural relaxation. Source: the Alexandria database, functional PBE.

Lattice parameters (Å, degrees): 6.8238 6.8238 4.8336 90.00 90.00 90.00
Last column: nearest neighbours and their distance in Å.
Space group P4/mbm (No. 127)
Asymmetric unit:
Sr 0.1814 0.3186 0.0000  6 Ir 3.05-3.22
Ir 0.1263 0.6263 0.5000  1 Ir 2.44, 2 Rh 2.69
Rh 0.0000 0.0000 0.5000  4 Ir 2.69

## Properties
Crystal system: tetragonal
Density of states at the Fermi level: 1.2051 states/eV per atom
M_tot: 1.06 μB/f.u.
DFT total energy: -0.211 hartree per atom

***

[4]
Sr2IrRh after structural relaxation. Source: the Alexandria database, functional PBE.

Lattice parameters (Å, degrees): 7.1159 7.1278 3.7116 90.00 90.00 90.00
Last column: nearest neighbours and their distance in Å.
Space group Cmmm (No. 65)
Asymmetric unit:
Sr 0.2500 0.2500 0.0000  4 Ir 3.13, 4 Rh 3.13
Ir 0.0000 0.0000 0.5000  8 Sr 3.13
Rh 0.0000 0.5000 0.5000  8 Sr 3.13

## Properties
Crystal system: orthorhombic
Density of states at the Fermi level: 0.5989 states/eV per atom
M_tot: 0.00 μB/f.u.
DFT total energy: -0.176 hartree per atom

***

[5]
SrIrRh3 after structural relaxation. Source: the Alexandria database, functional PBE.

Lattice parameters (Å, degrees): 4.8033 4.8033 4.8033 90.00 90.00 90.00
Last column: nearest neighbours and their distance in Å.
Space group Pm-3m (No. 221)
Asymmetric unit:
Sr 0.0000 0.0000 0.0000  6 Rh 2.40
Ir 0.5000 0.5000 0.5000  12 Rh 3.40
Rh 0.0000 0.0000 0.5000  2 Sr 2.40

## Properties
Crystal system: cubic
Density of states at the Fermi level: 1.5782 states/eV per atom
M_tot: 3.46 μB/f.u.
DFT total energy: -0.154 hartree per atom

***

[6]
Sr2IrRh after structural relaxation. Source: the Alexandria database, functional PBE.

Lattice parameters (Å, degrees): 7.6836 4.3013 8.4782 90.00 107.44 90.00
Last column: nearest neighbours and their distance in Å.
Space group Cm (No. 8)
Asymmetric unit:
Sr 0.0000 0.0000 0.0000  3 Ir 3.17-3.28, 3 Rh 3.18-3.27
Sr 0.1625 0.0000 0.4906  3 Ir 3.17-3.28, 3 Rh 3.18-3.27
Ir 0.2410 0.5000 0.2456  3 Rh 2.47-2.55
Rh 0.4195 0.0000 0.2449  3 Ir 2.47-2.55

## Properties
Crystal system: monoclinic
Density of states at the Fermi level: 1.4271 states/eV per atom
M_tot: 0.52 μB/f.u.
DFT total energy: -0.188 hartree per atom

***

[7]
Sr2IrRh after structural relaxation. Source: the Alexandria database, functional PBE.

Lattice parameters (Å, degrees): 3.6139 3.6139 8.7243 90.00 90.00 90.00
Last column: nearest neighbours and their distance in Å.
Space group P4mm (No. 99)
Asymmetric unit:
Sr 0.0000 0.0000 0.0000  1 Ir 2.86
Sr 0.5000 0.5000 0.4228  1 Rh 2.83
Ir 0.0000 0.0000 0.6725  4 Rh 2.64, 1 Sr 2.86
Rh 0.5000 0.5000 0.7469  4 Ir 2.64, 1 Sr 2.83

## Properties
Crystal system: tetragonal
Density of states at the Fermi level: 1.1975 states/eV per atom
M_tot: 0.00 μB/f.u.
DFT total energy: -0.176 hartree per atom

***

[8]
Sr2IrRh2 after structural relaxation. Source: the Alexandria database, functional PBE.

Lattice parameters (Å, degrees): 3.5823 3.5823 18.3204 90.00 90.00 90.00
Last column: nearest neighbours and their distance in Å.
Space group I4/mmm (No. 139)
Asymmetric unit:
Sr 0.0000 0.0000 0.1002  4 Ir 3.13, 4 Rh 3.28
Ir 0.0000 0.0000 0.5000  8 Sr 3.13
Rh 0.0000 0.5000 0.2500  4 Rh 2.53

## Properties
Crystal system: tetragonal
Density of states at the Fermi level: 1.1866 states/eV per atom
M_tot: 1.01 μB/f.u.
DFT total energy: -0.193 hartree per atom

***

[9]
Sr2Ir2Rh after structural relaxation. Source: the Alexandria database, functional PBE.

Lattice parameters (Å, degrees): 8.9726 5.8593 8.8661 90.00 100.14 90.00
Last column: nearest neighbours and their distance in Å.
Space group C2/c (No. 15)
Asymmetric unit:
Sr 0.1515 0.1215 0.1586  5 Ir 3.01-3.30, 2 Rh 3.09-3.25
Ir 0.1273 0.3751 0.5022  2 Ir 2.65-2.71, 2 Rh 2.65-2.66
Rh 0.0000 0.4053 0.7500  4 Ir 2.65-2.66

## Properties
Crystal system: monoclinic
Density of states at the Fermi level: 0.6425 states/eV per atom
M_tot: 0.00 μB/f.u.
DFT total energy: -0.215 hartree per atom

***

[10]
Sr2Ir2Rh after structural relaxation. Source: the Alexandria database, functional PBE.

Lattice parameters (Å, degrees): 4.7488 5.0179 9.6999 90.00 90.00 90.00
Last column: nearest neighbours and their distance in Å.
Space group Immm (No. 71)
Asymmetric unit:
Sr 0.0000 0.0000 0.1925  2 Rh 3.13, 6 Ir 3.24-3.27
Ir 0.0000 0.2527 0.5000  2 Ir 2.48-2.54, 2 Rh 2.69
Rh 0.0000 0.5000 0.0000  4 Ir 2.69

## Properties
Crystal system: orthorhombic
Density of states at the Fermi level: 0.9504 states/eV per atom
M_tot: 0.38 μB/f.u.
DFT total energy: -0.219 hartree per atom

***

[11]
Sr2Ir3Rh after structural relaxation. Source: the Alexandria database, functional PBE.

Lattice parameters (Å, degrees): 5.4314 5.4314 13.6987 90.00 90.00 120.00
Last column: nearest neighbours and their distance in Å.
Space group R-3m (No. 166, hexagonal axes)
Asymmetric unit:
Sr 0.0000 0.0000 0.1245  3 Rh 3.19, 9 Ir 3.21-3.26, 4 Sr 3.34-3.41
Ir 0.0000 0.5000 0.0000  4 Ir 2.72, 2 Rh 2.77
Rh 0.0000 0.0000 0.5000  6 Ir 2.77

## Properties
Crystal system: trigonal
Density of states at the Fermi level: 1.0649 states/eV per atom
M_tot: 0.00 μB/f.u.
DFT total energy: -0.238 hartree per atom

***

[12]
Sr2IrRh after structural relaxation. Source: the Alexandria database, functional PBE.

Lattice parameters (Å, degrees): 7.2208 7.2208 7.2208 90.00 90.00 90.00
Last column: nearest neighbours and their distance in Å.
Space group Fm-3m (No. 225)
Asymmetric unit:
Sr 0.2500 0.2500 0.2500  4 Rh 3.13, 4 Ir 3.13
Ir 0.0000 0.0000 0.0000  8 Sr 3.13
Rh 0.0000 0.0000 0.5000  8 Sr 3.13

## Properties
Crystal system: cubic
Density of states at the Fermi level: 0.8720 states/eV per atom
M_tot: 0.00 μB/f.u.
DFT total energy: -0.176 hartree per atom